This record from the Alexandria database describes a geometry-optimized TaTlSe structure. The functional is PBE-GGA.

Cell and atoms, written as POSCAR:
```
TaTlSe
1.0
-7.7625 -1.7637 3.6010
-7.0639 -4.3342 2.0077
0.6187 -0.3004 3.0268
Se Ta Tl
1 1 1
Cartesian
-14.2203 -5.8704 5.5074
-4.7812 -2.3273 3.9295
-10.0325 -4.2984 4.8073
```

Computed properties:
Space-group type: No. 42
V (Å³ per atom): 24.85
DFT total energy (eV per formula unit): -17.30
Raw formation energy (eV per atom): 0.134

=====

This record from the Alexandria database describes a geometry-optimized Ta2Nb2Al7 structure. The functional is PBE-GGA.

Cell and atoms, written as POSCAR:
```
Ta2Nb2Al7
1.0
6.8599 -1.2590 -0.2437
-1.6082 4.5845 1.5149
-0.6696 1.2534 6.8326
Ta Nb Al
2 2 7
Cartesian
4.0105 2.2878 5.8820
0.5716 2.2910 2.2217
4.9857 -0.2729 1.5180
-0.4035 4.8517 6.5857
5.6653 0.3916 4.0505
2.0811 4.1843 7.4212
-1.0832 4.1872 4.0532
2.5010 0.3945 0.6825
0.0000 0.0000 0.0000
1.4296 3.1673 4.8620
3.1526 1.4116 3.2417
```

Computed properties:
Space-group type: No. 12
V (Å³ per atom): 17.19
DFT total energy (eV per formula unit): -70.44
ΔH_f (0 K) (eV/f.u.): -0.39

=====

This record from the Alexandria database describes a geometry-optimized RbYRh3 structure. The functional is PBE-GGA.

Cell and atoms, written as POSCAR:
```
RbYRh3
1.0
-4.4473 -0.6633 -1.8147
0.8023 -4.7769 -0.2203
-1.7576 -0.5023 4.4910
Y Rh Rb
1 3 1
Cartesian
-2.7013 -2.9713 1.2280
0.4012 -2.3884 -0.1102
-0.8788 -0.2512 2.2455
-2.2236 -0.3316 -0.9073
0.0000 0.0000 0.0000
```

Computed properties:
Space-group type: No. 221
V (Å³ per atom): 22.80
DFT total energy (eV per formula unit): -22.18
ΔH_f (0 K) (eV/f.u.): 7.31

=====

This record from the Alexandria database describes a geometry-optimized AcRe2N8 structure. The functional is PBE-GGA.

Cell and atoms, written as POSCAR:
```
AcRe2N8
1.0
4.6591 0.0000 0.0000
0.0000 4.6591 0.0000
0.0000 0.0000 6.6353
Ac Re N
1 2 8
Cartesian
2.3296 2.3296 3.3176
2.3296 0.0000 0.0000
0.0000 2.3296 0.0000
3.5040 3.5040 1.2737
3.5040 1.1551 5.3616
3.5040 3.5040 5.3616
3.5040 1.1551 1.2737
1.1551 3.5040 1.2737
1.1551 3.5040 5.3616
1.1551 1.1551 1.2737
1.1551 1.1551 5.3616
```

Computed properties:
Space-group type: No. 123
V (Å³ per atom): 13.09
DFT total energy (eV per formula unit): -83.40
Raw formation energy (eV per atom): 1.110

=====

This record from the Alexandria database describes a geometry-optimized FeAgSb3 structure. The functional is PBE-GGA.

Cell and atoms, written as POSCAR:
```
FeAgSb3
1.0
-0.0189 -4.2697 2.4919
3.7176 1.6304 2.8216
-3.2587 1.8847 3.2046
Sb Fe Ag
3 1 1
Cartesian
1.8588 0.8152 1.4108
-1.6293 0.9423 1.6023
-0.0094 -2.1348 1.2460
0.0000 0.0000 0.0000
0.2201 -0.3773 4.2590
```

Computed properties:
Space-group type: No. 221
V (Å³ per atom): 24.16
DFT total energy (eV per formula unit): -21.44
Raw formation energy (eV per atom): 0.448

=====

This record from the Alexandria database describes a geometry-optimized BePdPt2 structure. The functional is PBE-GGA.

Cell and atoms, written as POSCAR:
```
BePdPt2
1.0
-2.2130 -0.8093 1.4485
-1.1995 -0.8881 -2.3287
2.9397 -6.3878 0.9221
Be Pd Pt
1 1 2
Cartesian
-1.7062 -0.8487 -0.4401
-0.2364 -4.0426 0.0209
2.3417 -5.0884 0.7345
0.5980 -1.2994 0.1876
```

Computed properties:
Space-group type: No. 123
V (Å³ per atom): 13.56
DFT total energy (eV per formula unit): -22.87
ΔH_f (0 K) (eV/f.u.): -1.87

=====

This record from the Alexandria database describes a geometry-optimized NaCd2Mo structure. The functional is PBE-GGA.

Cell and atoms, written as POSCAR:
```
NaCd2Mo
1.0
4.6446 -0.3932 1.4868
0.9907 -1.1460 4.6522
1.8543 -4.3930 1.0957
Na Mo Cd
1 1 2
Cartesian
0.0000 0.0000 0.0000
3.7448 -2.9661 3.6174
1.8724 -1.4830 1.8087
5.6172 -4.4491 5.4261
```

Computed properties:
Space-group type: No. 225
V (Å³ per atom): 20.70
DFT total energy (eV per formula unit): -11.70
ΔH_f (0 K) (eV/f.u.): 2.28

=====

This record from the Alexandria database describes a geometry-optimized CuSnOsC structure. The functional is PBE-GGA.

Cell and atoms, written as POSCAR:
```
CuSnOsC
1.0
-2.7110 1.9201 0.9130
-1.1449 -2.8022 3.3167
1.6621 1.8491 3.7942
C Os Sn Cu
1 1 1 1
Cartesian
-0.6826 -1.7354 2.7625
-1.8265 -0.8112 4.0042
-0.3639 1.4817 3.4076
-1.9610 1.2240 5.7320
```

Computed properties:
Space-group type: No. 1
V (Å³ per atom): 16.67
DFT total energy (eV per formula unit): -25.99
ΔH_f (0 K) (eV/f.u.): 2.56

=====

no.,magnetization (μB per formula unit)
1,0.0
2,0.0
3,0.0
4,0.0
5,0.0
6,0.0
7,2.5
8,0.0